Below is an optimized crystal structure of Na2CeBiTe4, with properties calculated at the PBE level.

* total magnetization: 0.98 μB/cell
* DOS at the Fermi energy: 7.8 states/eV/f.u.
* formation energy from raw total energies: -0.891 eV/atom

Cell lengths 7.889, 4.560, 7.993 Å; angles 90.00, 109.27, 90.00 degrees
Space group P2/m (No. 10)
Asymmetric unit:
Na 0.000 0.000 0.000 x1
Na 0.500 0.500 0.000 x1
Ce 0.000 0.500 0.500 x1
Bi 0.500 0.000 0.500 x1
Te 0.248 0.000 0.738 x2
Te 0.256 0.500 0.262 x2